No. 1
PrNd6Ho3Tm2, relaxed, DFT PBE-GGA; total magnetic moment = 0.0 μB per formula unit; calculated volume = 33.21 Å³/atom; symmetry = C2/m, No. 12; energy of formation = 0.18 eV/f.u.
1.0
3.1367 -5.4325 0.0000
3.1367 5.4325 0.0000
-2.0856 0.0000 11.6947
Pr Nd Ho Tm
1 6 3 2
Cartesian
0.0000 0.0000 0.0000
1.0530 1.8172 2.9398
0.0076 0.0000 8.7573
1.0530 -1.8172 2.9398
3.1348 1.8172 8.7549
4.1801 0.0000 2.9374
3.1348 -1.8172 8.7549
2.0939 3.6195 5.8473
2.0939 0.0000 5.8473
2.0939 -3.6195 5.8473
3.1367 1.8098 0.0000
3.1367 -1.8098 0.0000


No. 2
AsPb3Au, relaxed, DFT PBE-GGA; total magnetic moment = 0.0 μB per formula unit; calculated volume = 27.71 Å³/atom; symmetry = P2_1/m, No. 11; energy of formation = -0.12 eV/f.u.
1.0
8.3221 0.0000 0.0000
0.0000 4.0982 0.0000
-3.9818 0.0000 8.1238
As Pb Au
2 6 2
Cartesian
0.5191 1.0245 2.1776
3.8212 3.0736 5.9463
-2.4763 1.0245 5.3049
1.6033 3.0736 0.1948
0.8958 3.0736 5.2530
3.4445 1.0245 2.8708
2.7370 1.0245 7.9291
6.8167 3.0736 2.8189
-0.1726 1.0245 7.1406
4.5129 3.0736 0.9832


No. 3
InC3, relaxed, DFT PBE-GGA; total magnetic moment = 0.0 μB per formula unit; calculated volume = 21.67 Å³/atom; symmetry = Pm-3m, No. 221; energy of formation = 16.74 eV/f.u.
1.0
4.4258 0.0000 0.0000
0.0000 4.4258 0.0000
0.0000 0.0000 4.4258
In C
1 3
Cartesian
0.0000 0.0000 0.0000
0.0000 0.0000 2.2129
0.0000 2.2129 0.0000
2.2129 0.0000 0.0000


No. 4
Np2GeAu, relaxed, DFT PBE-GGA; total magnetic moment = 8.6 μB per formula unit; calculated volume = 21.79 Å³/atom; symmetry = P4/mmm, No. 123; energy of formation = -0.53 eV/f.u.
1.0
3.9342 0.0000 0.0000
0.0000 3.9342 0.0000
0.0000 0.0000 5.6305
Np Ge Au
2 1 1
Cartesian
0.0000 0.0000 1.3475
0.0000 0.0000 4.2830
1.9671 1.9671 0.0000
1.9671 1.9671 2.8153


No. 5
NaTa2H, relaxed, DFT PBE-GGA; total magnetic moment = 0.0 μB per formula unit; calculated volume = 15.40 Å³/atom; symmetry = Fm-3m, No. 225
1.0
0.0000 3.1345 3.1345
3.1345 0.0000 3.1345
3.1345 3.1345 0.0000
Na Ta H
1 2 1
Cartesian
0.0000 0.0000 0.0000
1.5672 1.5672 1.5672
4.7017 4.7017 4.7017
3.1345 3.1345 3.1345


No. 6
Ba4Sr8Ac, relaxed, DFT PBE-GGA; total magnetic moment = 0.0 μB per formula unit; calculated volume = 55.27 Å³/atom; symmetry = C2/m, No. 12; energy of formation = 0.38 eV/f.u.
1.0
5.8928 -3.3912 0.0000
5.8928 3.3912 0.0000
-3.8620 0.0000 17.9784
Ba Sr Ac
4 8 1
Cartesian
0.0307 0.0000 6.3363
3.9339 0.0000 0.7370
3.9896 0.0000 17.2414
7.8928 0.0000 11.6421
0.0121 0.0000 2.0944
0.0327 0.0000 10.3635
0.0479 0.0000 14.5009
3.9528 0.0000 4.9110
3.9707 0.0000 13.0674
7.8756 0.0000 3.4775
7.8908 0.0000 7.6149
7.9114 0.0000 15.8840
3.9617 0.0000 8.9892


No. 7
HoBiBr, relaxed, DFT PBE-GGA; total magnetic moment = 0.0 μB per formula unit; calculated volume = 27.88 Å³/atom; symmetry = P-6m2, No. 187
1.0
5.1212 0.0000 0.0000
-2.5606 4.4351 0.0000
0.0000 0.0000 3.6825
Ho Bi Br
1 1 1
Cartesian
0.0000 0.0000 0.0000
2.5606 1.4784 1.8412
0.0000 2.9567 0.0000


No. 8
ThGaB, relaxed, DFT PBE-GGA; total magnetic moment = 0.0 μB per formula unit; calculated volume = 19.47 Å³/atom; symmetry = Fmmm, No. 69; energy of formation = -0.49 eV/f.u.
1.0
0.0000 4.1517 8.4549
1.6638 0.0000 8.4549
1.6638 4.1517 0.0000
Th Ga B
2 2 2
Cartesian
1.6638 4.1517 2.4278
1.6638 4.1517 14.4821
1.6638 2.9435 8.4549
1.6638 5.3599 8.4549
0.8319 2.0759 4.2275
2.4958 6.2276 12.6824


No. 9
InFePb2W, relaxed, DFT PBE-GGA; total magnetic moment = 5.0 μB per formula unit; calculated volume = 25.33 Å³/atom; symmetry = P4/mmm, No. 123; energy of formation = 6.50 eV/f.u.
1.0
5.0331 0.0000 0.0000
0.0000 5.0331 0.0000
0.0000 0.0000 5.0006
In Fe Pb W
1 1 2 1
Cartesian
0.0000 0.0000 0.0000
0.0000 0.0000 2.5003
0.0000 2.5166 2.5003
2.5166 0.0000 2.5003
2.5166 2.5166 0.0000


No. 10
Mo2AsP, relaxed, DFT PBE-GGA; total magnetic moment = 0.0 μB per formula unit; calculated volume = 15.29 Å³/atom; symmetry = R-3m, No. 166; energy of formation = -0.09 eV/f.u.
1.0
1.5300 0.8833 7.5435
-1.5300 0.8833 7.5435
0.0000 -1.7667 7.5435
Mo As P
2 1 1
Cartesian
0.0000 0.0000 5.5310
0.0000 0.0000 17.0995
0.0000 0.0000 0.0000
0.0000 0.0000 11.3153


No. 11
Li8Tl3Cd2, relaxed, DFT PBE-GGA; total magnetic moment = 0.0 μB per formula unit; calculated volume = 20.55 Å³/atom; symmetry = R-3m, No. 166; energy of formation = -1.68 eV/f.u.
1.0
2.7319 1.5773 10.3340
-2.7319 1.5773 10.3340
0.0000 -3.1545 10.3340
Li Tl Cd
8 3 2
Cartesian
0.0000 0.0000 6.8774
0.0000 -1.5702 12.1201
-1.3598 0.7851 12.1201
-1.3598 -0.7851 18.8820
1.3599 0.7851 12.1201
1.3598 -0.7851 18.8820
0.0000 1.5702 18.8820
0.0000 0.0000 24.1247
0.0000 0.0000 9.6942
0.0000 0.0000 15.5011
0.0000 0.0000 21.3079
0.0000 0.0000 4.0952
0.0000 0.0000 26.9069


No. 12
HoErBr, relaxed, DFT PBE-GGA; total magnetic moment = 0.2 μB per formula unit; calculated volume = 28.39 Å³/atom; symmetry = P3m1, No. 156
1.0
3.6896 0.0000 0.0000
-1.8448 3.1953 0.0000
0.0000 0.0000 7.2253
Ho Er Br
1 1 1
Cartesian
0.0000 0.0000 0.0000
0.0000 2.1302 4.6158
1.8448 1.0651 2.3143


No. 13
KNp2AgSe4, relaxed, DFT PBE-GGA; total magnetic moment = 8.0 μB per formula unit; calculated volume = 27.52 Å³/atom; symmetry = Cmcm, No. 63
1.0
2.1212 -7.0240 0.0000
2.1212 7.0240 0.0000
0.0000 0.0000 14.7759
K Np Ag Se
2 4 2 8
Cartesian
2.1212 5.3405 11.0820
2.1212 -5.3405 3.6940
2.1212 1.8248 8.3425
2.1212 1.8248 13.8214
2.1212 -1.8248 0.9545
2.1212 -1.8248 6.4334
2.1212 4.7744 3.6940
2.1212 -4.7744 11.0820
0.0000 0.0000 0.0000
0.0000 0.0000 7.3880
2.1212 3.2880 1.5271
2.1212 3.2880 5.8609
2.1212 0.7344 11.0820
2.1212 -0.7344 3.6940
2.1212 -3.2880 8.9150
2.1212 -3.2880 13.2489


No. 14
Tb3Nd2Ho2, relaxed, DFT PBE-GGA; total magnetic moment = 0.0 μB per formula unit; calculated volume = 32.50 Å³/atom; symmetry = P-1, No. 2; energy of formation = 0.12 eV/f.u.
1.0
3.5890 0.0000 0.0000
-1.7868 5.9206 0.0000
-0.0025 -1.0607 10.7068
Tb Nd Ho
3 2 2
Cartesian
0.0000 0.0000 0.0000
0.0029 1.0824 6.1006
1.7969 3.7775 4.6062
0.0024 3.2220 1.5540
1.7973 1.6379 9.1528
0.0029 4.3326 7.6208
1.7968 0.5273 3.0860


No. 15
TbGaTeO6, relaxed, DFT PBE-GGA; total magnetic moment = 0.0 μB per formula unit; calculated volume = 12.74 Å³/atom; symmetry = P-31c, No. 163
1.0
5.1687 0.0000 0.0000
-2.5843 4.4762 0.0000
0.0000 0.0000 9.9129
Tb Ga Te O
2 2 2 12
Cartesian
0.0000 0.0000 0.0000
0.0000 0.0000 4.9565
0.0000 2.9841 2.4782
2.5843 1.4921 7.4347
0.0000 2.9841 7.4347
2.5843 1.4921 2.4782
-0.9035 1.6416 6.3433
-1.6144 2.8730 8.5261
0.9035 1.6416 8.5261
-0.7109 4.4378 6.3433
1.8734 0.0384 1.3869
0.9699 1.6032 3.5696
1.6144 2.8730 6.3433
0.7109 4.4378 8.5261
3.2953 0.0384 3.5696
1.6809 2.8346 1.3869
4.1987 1.6032 1.3869
3.4878 2.8346 3.5696


In order of appearance, total energy = -0.3423; -0.2819; -0.2511; -0.6304; -0.4009; -0.1407; -0.3067; -0.4316; -0.3686; -0.5846; -0.1466; -0.3180; -0.4766; -0.3409; -0.4804 Ry per atom.
In order of appearance, theoretical density = 7.662; 10.710; 2.890; 14.169; 10.404; 3.414; 9.010; 8.887; 10.079; 8.083; 5.553; 8.034; 7.066; 7.993; 6.549 g/cm3.